(1)
Ca7In2Ga2 | Alexandria via LeMat-Bulk | GGA-PBE | optimized geometry; ΔH_f (0 K) = -0.179 eV/atom; space-group type = Cmmm (65); size of the total moment = 0.000 μB per atom
1.0
3.801 -5.797 0.000
3.801 5.797 0.000
0.000 0.000 8.331
Ca In Ga
7 2 2
Cartesian
0.000 0.000 0.000
1.900 2.899 2.475
1.900 2.899 5.856
1.900 -2.899 2.475
1.900 -2.899 5.856
3.801 0.000 2.332
3.801 0.000 6.000
3.801 2.308 0.000
3.801 -2.308 0.000
1.253 0.000 4.166
6.349 0.000 4.166

(2)
PrGaO3 | Alexandria via LeMat-Bulk | GGA-PBE | optimized geometry; E_form (uncorrected) = -2597.3 meV/atom; space-group type = C2/c (15); size of the total moment = 0.000 μB per atom
1.0
5.338 -4.888 0.000
5.338 4.888 0.000
-1.344 0.000 5.744
Pr Ga O
4 4 12
Cartesian
4.331 3.922 4.308
5.002 1.659 1.436
4.331 -1.659 4.308
5.002 -3.922 1.436
2.104 0.929 4.230
2.776 -0.929 1.358
6.557 0.929 4.387
7.229 -0.929 1.515
0.336 1.075 3.727
2.830 2.381 5.071
1.008 -1.075 0.854
3.175 0.383 2.735
5.831 2.381 3.545
2.503 -0.383 5.607
6.830 0.383 0.137
3.502 -2.381 2.199
6.158 -0.383 3.009
8.325 1.075 4.890
6.503 -2.381 0.673
8.997 -1.075 2.018

(3)
CoAgSN2 | Alexandria via LeMat-Bulk | GGA-PBE | optimized geometry; energy relative to the lowest polymorph listed for this composition = 1131 meV/atom; E_form (uncorrected) = 2129.4 meV/atom; space-group type = P4/mmm (123); size of the total moment = 1.122 μB per atom
1.0
3.966 0.000 0.000
0.000 3.966 0.000
0.000 0.000 5.283
Co Ag S N
1 1 1 2
Cartesian
0.000 0.000 0.000
1.983 1.983 2.642
1.983 1.983 0.000
0.000 1.983 2.642
1.983 0.000 2.642

(4)
La5Tb3Y | Alexandria via LeMat-Bulk | GGA-PBE | optimized geometry; ΔH_f (0 K) = 0.296 eV/atom; energy relative to the lowest polymorph listed for this composition = 43 meV/atom; space-group type = I4/mcm (140); size of the total moment = 0.000 μB per atom
1.0
-4.723 4.723 7.230
4.723 -4.723 7.230
4.723 4.723 -7.230
La Tb Y
10 6 2
Cartesian
0.000 0.000 0.000
6.631 1.908 -1.933
1.908 2.815 -1.933
6.631 1.908 1.933
1.908 2.815 1.933
0.000 0.000 7.230
2.815 1.908 5.297
-1.908 2.815 5.297
2.815 1.908 9.162
-1.908 2.815 9.162
3.693 1.030 0.000
0.000 0.000 3.615
3.693 -1.030 7.230
1.030 5.753 0.000
0.000 0.000 10.844
1.030 3.693 7.230
4.723 0.000 3.615
0.000 4.723 3.615

(5)
VZnIn2Re | Alexandria via LeMat-Bulk | GGA-PBE | optimized geometry; ΔH_f (0 K) = 1.565 eV/atom; space-group type = P4/mmm (123); size of the total moment = 0.530 μB per atom
1.0
4.775 0.000 0.000
0.000 4.775 0.000
0.000 0.000 4.603
V Zn In Re
1 1 2 1
Cartesian
0.000 0.000 0.000
0.000 0.000 2.302
0.000 2.388 2.302
2.388 0.000 2.302
2.388 2.388 0.000

(6)
AlIBr3 | Alexandria via LeMat-Bulk | GGA-PBE | optimized geometry; energy relative to the lowest polymorph listed for this composition = 0 meV/atom; E_form (uncorrected) = -841.9 meV/atom; space-group type = P2_1/c (14); size of the total moment = 0.000 μB per atom
1.0
11.219 0.000 0.000
0.000 8.160 0.000
-11.110 0.000 11.366
Al I Br
4 4 12
Cartesian
-4.690 1.430 5.630
-10.245 2.650 11.313
10.354 5.510 0.053
4.799 6.730 5.736
-5.119 0.713 10.270
0.436 3.367 4.587
-0.328 4.792 6.779
5.228 7.447 1.096
-7.001 5.758 7.678
-1.446 6.481 1.995
1.530 5.002 0.005
-4.025 7.238 5.689
1.478 1.613 1.874
-4.077 2.467 7.557
4.185 5.693 3.810
-1.370 6.547 9.493
4.133 0.922 5.678
-1.422 3.158 11.361
1.555 1.679 9.372
7.110 2.401 3.688

(7)
NpPaGe2 | Alexandria via LeMat-Bulk | GGA-PBE | optimized geometry; ΔH_f (0 K) = -0.150 eV/atom; energy relative to the lowest polymorph listed for this composition = 156 meV/atom; space-group type = Fm-3m (225); size of the total moment = 1.107 μB per atom
1.0
0.000 3.526 3.526
3.526 0.000 3.526
3.526 3.526 0.000
Np Pa Ge
1 1 2
Cartesian
0.000 0.000 0.000
3.526 3.526 3.526
1.763 1.763 1.763
5.289 5.289 5.289

(8)
MgSnP2O7 | Alexandria via LeMat-Bulk | GGA-PBE | optimized geometry; energy relative to the lowest polymorph listed for this composition = 25 meV/atom; E_form (uncorrected) = -2183.3 meV/atom; space-group type = P-1 (2); size of the total moment = 0.000 μB per atom
1.0
6.693 0.000 0.000
2.746 6.134 0.000
0.347 0.915 6.932
Mg Sn P O
2 2 4 14
Cartesian
2.285 2.580 1.258
7.501 4.469 5.674
4.748 4.879 2.395
5.038 2.170 4.537
1.801 1.638 4.381
4.155 5.416 6.120
5.631 1.633 0.812
7.985 5.411 2.551
2.281 4.260 2.370
2.847 4.611 6.349
3.772 6.426 4.900
2.112 1.342 2.900
4.191 5.377 0.379
3.018 1.806 5.284
4.449 2.493 1.312
5.336 4.556 5.620
6.767 5.243 1.648
5.595 1.672 6.552
7.673 5.707 4.032
6.014 0.623 2.032
6.938 2.438 0.583
7.505 2.789 4.562

(9)
DyIn2Ag2 | Alexandria via LeMat-Bulk | GGA-PBE | optimized geometry; ΔH_f (0 K) = -0.184 eV/atom; energy relative to the lowest polymorph listed for this composition = 0 meV/atom; space-group type = I4/mmm (139); size of the total moment = 0.000 μB per atom
1.0
-2.155 2.155 6.325
2.155 -2.155 6.325
2.155 2.155 -6.325
Dy In Ag
1 2 2
Cartesian
0.000 0.000 0.000
2.155 0.000 3.163
0.000 2.155 3.163
0.000 0.000 5.012
0.000 0.000 7.638

(10)
CaMg2Br | Alexandria via LeMat-Bulk | GGA-PBE | optimized geometry; energy relative to the lowest polymorph listed for this composition = 174 meV/atom; E_form (uncorrected) = -380.6 meV/atom; space-group type = Imm2 (44); size of the total moment = 0.000 μB per atom
1.0
-1.879 2.981 5.247
1.879 -2.981 5.247
1.879 2.981 -5.247
Ca Mg Br
1 2 1
Cartesian
0.000 0.000 0.000
1.879 0.000 2.948
0.000 0.000 5.687
0.000 2.981 2.993

(11)
SiAgTe4 | Alexandria via LeMat-Bulk | GGA-PBE | optimized geometry; energy relative to the lowest polymorph listed for this composition = 0 meV/atom; E_form (uncorrected) = 138.1 meV/atom; space-group type = C2/m (12); size of the total moment = 0.000 μB per atom
1.0
10.295 -2.660 0.000
10.295 2.660 0.000
-1.393 0.000 7.411
Si Ag Te
2 2 8
Cartesian
2.528 0.000 1.112
16.668 0.000 6.300
4.005 0.000 4.902
15.192 0.000 2.509
-0.138 0.000 6.295
1.490 0.000 3.907
5.106 0.000 0.693
6.712 0.000 5.218
12.485 0.000 2.194
14.091 0.000 6.719
17.707 0.000 3.505
19.335 0.000 1.117

(12)
KMg2Cr | Alexandria via LeMat-Bulk | GGA-PBE | optimized geometry; ΔH_f (0 K) = 0.458 eV/atom; energy relative to the lowest polymorph listed for this composition = 0 meV/atom; space-group type = P4/mmm (123); size of the total moment = 1.023 μB per atom
1.0
3.538 0.000 0.000
0.000 3.538 0.000
0.000 0.000 9.045
K Mg Cr
1 2 1
Cartesian
0.000 0.000 0.000
1.769 1.769 2.977
1.769 1.769 6.068
0.000 0.000 4.522

(13)
MgCd4 | Alexandria via LeMat-Bulk | GGA-PBE | optimized geometry; ΔH_f (0 K) = 0.006 eV/atom; space-group type = P2_1/c (14); size of the total moment = 0.000 μB per atom
1.0
5.705 0.000 0.000
0.000 5.064 0.000
-5.574 0.000 8.164
Mg Cd
2 8
Cartesian
0.000 0.000 0.000
-2.787 2.532 4.082
-3.568 0.041 5.640
-0.781 2.491 1.558
-0.743 0.489 5.247
2.044 2.043 1.165
-1.912 3.021 6.998
0.875 4.575 2.916
0.913 2.573 6.605
3.700 5.023 2.524

(14)
Pm2Zn12GaNi3 | Alexandria via LeMat-Bulk | GGA-PBE | optimized geometry; ΔH_f (0 K) = 0.200 eV/atom; space-group type = R-3m (166); size of the total moment = 0.000 μB per atom
1.0
4.220 2.436 6.093
-4.220 2.436 6.093
0.000 -4.873 6.093
Pm Zn Ga Ni
2 12 1 3
Cartesian
0.000 0.000 1.820
0.000 0.000 16.458
-2.177 -1.257 8.427
0.000 -2.221 6.180
-1.924 1.111 6.180
-1.924 -1.111 12.098
0.000 -2.513 9.851
-2.177 1.257 9.851
2.177 -1.257 8.427
0.000 2.513 8.427
1.924 1.111 6.180
1.924 -1.111 12.098
0.000 2.221 12.098
2.177 1.257 9.851
0.000 0.000 9.139
-2.110 -1.218 6.093
-2.110 1.218 12.185
0.000 2.436 6.093

(15)
InRe2Pd | Alexandria via LeMat-Bulk | GGA-PBE | optimized geometry; ΔH_f (0 K) = 1.052 eV/atom; space-group type = I-42d (122); size of the total moment = 0.270 μB per atom
1.0
-3.761 3.761 2.574
3.761 -3.761 2.574
3.761 3.761 -2.574
In Re Pd
2 4 2
Cartesian
0.000 0.000 0.000
0.000 3.761 1.287
1.880 -1.685 1.930
2.076 1.880 0.643
1.880 5.446 -0.643
1.685 1.880 3.217
3.761 0.000 1.287
0.000 0.000 2.574

(16)
PrTl2AgI6 | Alexandria via LeMat-Bulk | GGA-PBE | optimized geometry; E_form (uncorrected) = -856.3 meV/atom; space-group type = P2_1/c (14); size of the total moment = 0.000 μB per atom
1.0
8.125 0.000 0.000
0.000 8.711 0.000
-7.874 0.000 11.690
Pr Tl Ag I
2 4 2 12
Cartesian
0.000 0.000 0.000
-3.937 4.356 5.845
-3.573 0.835 8.887
0.364 3.520 3.042
-0.113 5.191 8.648
3.825 7.876 2.803
0.126 0.000 5.845
4.063 4.356 0.000
-0.921 0.228 3.008
-4.859 4.128 8.853
1.524 6.026 0.673
-2.413 7.041 6.518
2.584 1.680 0.652
-1.354 2.676 6.497
1.605 6.035 5.193
-2.333 7.032 11.038
2.664 1.670 5.172
-1.273 2.685 11.017
5.110 4.584 2.837
1.172 8.483 8.682

(17)
CaAgI3 | Alexandria via LeMat-Bulk | GGA-PBE | optimized geometry; energy relative to the lowest polymorph listed for this composition = 0 meV/atom; E_form (uncorrected) = -1052.8 meV/atom; space-group type = C2/c (15); size of the total moment = 0.000 μB per atom
1.0
7.835 -6.860 0.000
7.835 6.860 0.000
-1.145 0.000 7.848
Ca Ag I
4 4 12
Cartesian
6.976 5.718 5.886
7.549 3.423 1.962
6.976 -3.423 5.886
7.549 -5.718 1.962
5.451 1.181 5.714
6.024 -1.181 1.790
8.502 1.181 6.058
9.074 -1.181 2.134
1.064 1.145 4.821
4.940 3.587 7.017
1.636 -1.145 0.897
5.443 1.288 2.919
9.013 3.587 4.755
4.870 -1.288 6.843
9.655 1.288 1.005
5.512 -3.587 3.093
9.083 -1.288 4.929
12.889 1.145 6.951
9.586 -3.587 0.831
13.461 -1.145 3.027

(18)
Mn2ZnMo | Alexandria via LeMat-Bulk | GGA-PBE | optimized geometry; ΔH_f (0 K) = 0.103 eV/atom; space-group type = P4mm (99); size of the total moment = 0.143 μB per atom
1.0
2.666 0.000 0.000
0.000 2.666 0.000
0.000 0.000 7.506
Mn Zn Mo
2 1 1
Cartesian
0.000 0.000 0.000
1.333 1.333 1.547
1.333 1.333 5.638
0.000 0.000 3.539

(19)
LiPtF3 | Alexandria via LeMat-Bulk | GGA-PBE | optimized geometry; energy relative to the lowest polymorph listed for this composition = 0 meV/atom; E_form (uncorrected) = -1285.7 meV/atom; space-group type = Pm-3m (221); size of the total moment = 0.000 μB per atom
1.0
4.325 0.000 0.000
0.000 4.325 0.000
0.000 0.000 4.325
Li Pt F
1 1 3
Cartesian
0.000 0.000 0.000
2.163 2.163 2.163
0.000 2.163 2.163
2.163 0.000 2.163
2.163 2.163 0.000

(20)
Tb2Sm12Tm | Alexandria via LeMat-Bulk | GGA-PBE | optimized geometry; ΔH_f (0 K) = 0.162 eV/atom; space-group type = Cmme (67); size of the total moment = 0.000 μB per atom
1.0
3.576 -5.751 0.000
3.576 5.751 0.000
0.000 0.000 24.791
Tb Sm Tm
4 24 2
Cartesian
3.576 2.876 5.818
3.576 2.876 19.092
3.576 -2.876 5.699
3.576 -2.876 18.973
1.796 2.876 15.562
3.576 5.738 10.536
1.917 2.876 2.118
3.576 5.487 23.295
1.788 0.000 4.334
1.788 0.000 7.473
1.788 0.000 17.318
1.788 0.000 20.457
3.576 0.264 23.295
5.235 2.876 2.118
3.576 0.013 10.536
5.355 2.876 15.562
1.796 -2.876 9.229
3.576 -0.013 14.255
1.917 -2.876 22.673
3.576 -0.264 1.495
5.363 0.000 4.334
5.363 0.000 7.473
5.363 0.000 17.318
5.363 0.000 20.457
3.576 -5.487 1.495
5.235 -2.876 22.673
3.576 -5.738 14.255
5.355 -2.876 9.229
3.576 2.876 12.405
3.576 -2.876 12.385